1.
Entry from Alexandria: crystalline YMgWS4 at its relaxed geometry (PBE-GGA).

Summary:
Calculated density: 4.53 g/cm³
Crystal system: orthorhombic
Spin magnetization: 0.382 μB/atom
V: 22.28 Å³/atom
E_form (uncorrected): -1106 meV/atom
DFT total energy: -0.23763 Ha/atom

abc: 7.656 7.720 10.554
angles: 90.00 90.00 90.00
Space group Imma (No. 74)
Symmetry-distinct sites (fractional):
Y  0.000  0.000  0.000 [4 per cell]
Mg  0.000  0.250  0.376 [4 per cell]
W  0.250  0.250  0.750 [4 per cell]
S  0.000  0.034  0.742 [8 per cell]
S  0.246  0.250  0.987 [8 per cell]


2.
Entry from Alexandria: crystalline YMg2WS at its relaxed geometry (PBE-GGA).

Summary:
Calculated density: 4.80 g/cm³
Crystal system: tetragonal
Spin magnetization: 0.000 μB/atom
V: 24.45 Å³/atom
E_form (uncorrected): 374 meV/atom
DFT total energy: -0.18273 Ha/atom

abc: 5.221 5.221 4.485
angles: 90.00 90.00 90.00
Space group P4/mmm (No. 123)
Symmetry-distinct sites (fractional):
Y  0.000  0.000  0.000 [1 per cell]
Mg  0.000  0.500  0.500 [2 per cell]
W  0.500  0.500  0.500 [1 per cell]
S  0.500  0.500  0.000 [1 per cell]


3.
Entry from Alexandria: crystalline MgZn2WS at its relaxed geometry (PBE-GGA).

Summary:
Calculated density: 4.64 g/cm³
Crystal system: tetragonal
Spin magnetization: 0.589 μB/atom
V: 26.55 Å³/atom
E_form (uncorrected): 1345 meV/atom
DFT total energy: -0.10656 Ha/atom

abc: 4.953 4.953 5.412
angles: 90.00 90.00 90.00
Space group P4/mmm (No. 123)
Symmetry-distinct sites (fractional):
Mg  0.000  0.000  0.000 [1 per cell]
Zn  0.000  0.500  0.500 [2 per cell]
W  0.000  0.000  0.500 [1 per cell]
S  0.500  0.500  0.000 [1 per cell]


4.
Entry from Alexandria: crystalline YMgS3 at its relaxed geometry (PBE-GGA).

Summary:
Offset from the most stable computed form: 650 meV/atom
Calculated density: 2.49 g/cm³
Crystal system: cubic
Spin magnetization: 0.000 μB/atom
V: 27.89 Å³/atom
E_form (uncorrected): -614 meV/atom
DFT total energy: -0.17281 Ha/atom

abc: 5.186 5.186 5.186
angles: 90.00 90.00 90.00
Space group Pm-3m (No. 221)
Symmetry-distinct sites (fractional):
Y  0.000  0.000  0.000 [1 per cell]
Mg  0.500  0.500  0.500 [1 per cell]
S  0.000  0.000  0.500 [3 per cell]


5.
Entry from Alexandria: crystalline YMgS at its relaxed geometry (PBE-GGA).

Summary:
Calculated density: 3.24 g/cm³
Crystal system: trigonal
Spin magnetization: 0.000 μB/atom
V: 24.83 Å³/atom
E_form (uncorrected): -1038 meV/atom
DFT total energy: -0.18744 Ha/atom

abc: 4.8018 4.8018 22.3848
angles: 90.00 90.00 120.00
Space group R-3m (No. 166, hexagonal axes)
Symmetry-distinct sites (fractional):
Y  0.0000  0.0000  0.0912 [6 per cell]
Mg  0.0000  0.0000  0.3291 [6 per cell]
S  0.0000  0.0000  0.2160 [6 per cell]


6.
Entry from Alexandria: crystalline Y6MgS8 at its relaxed geometry (PBE-GGA).

Summary:
Calculated density: 4.04 g/cm³
Crystal system: cubic
Spin magnetization: 0.000 μB/atom
V: 22.31 Å³/atom
E_form (uncorrected): -1980 meV/atom
DFT total energy: -0.25260 Ha/atom

abc: 11.022 11.022 11.022
angles: 90.00 90.00 90.00
Space group Fm-3m (No. 225)
Symmetry-distinct sites (fractional):
Y  0.000  0.250  0.250 [24 per cell]
Mg  0.000  0.000  0.000 [4 per cell]
S  0.000  0.000  0.241 [24 per cell]
S  0.250  0.250  0.250 [8 per cell]


7.
Entry from Alexandria: crystalline YMg2S at its relaxed geometry (PBE-GGA).

Summary:
Calculated density: 2.95 g/cm³
Crystal system: tetragonal
Spin magnetization: 0.000 μB/atom
V: 23.85 Å³/atom
E_form (uncorrected): -567 meV/atom
DFT total energy: -0.14746 Ha/atom

abc: 8.303 8.303 5.534
angles: 90.00 90.00 90.00
Space group I-42d (No. 122)
Symmetry-distinct sites (fractional):
Y  0.000  0.000  0.000 [4 per cell]
Mg  0.185  0.250  0.625 [8 per cell]
S  0.000  0.000  0.500 [4 per cell]


8.
Entry from Alexandria: crystalline Y5MgS6 at its relaxed geometry (PBE-GGA).

Summary:
Calculated density: 4.40 g/cm³
Crystal system: monoclinic
Spin magnetization: 0.000 μB/atom
V: 20.79 Å³/atom
E_form (uncorrected): -1867 meV/atom
DFT total energy: -0.24833 Ha/atom

abc: 6.729 11.709 6.719
angles: 90.00 109.49 90.00
Space group C2/m (No. 12)
Symmetry-distinct sites (fractional):
Y  0.000  0.000  0.000 [2 per cell]
Y  0.000  0.167  0.500 [4 per cell]
Y  0.000  0.330  0.000 [4 per cell]
Mg  0.000  0.500  0.500 [2 per cell]
S  0.236  0.500  0.259 [4 per cell]
S  0.239  0.341  0.741 [8 per cell]


- Look up the E_form (uncorrected) of the first one.
  -1106 meV/atom